[1]
MnGaNi2: optimized geometry, PBE.

a b c (Å): 3.009 3.009 5.474
angles (deg): 90.00 90.00 90.00
Space group P4/mmm (No. 123)
Symmetry-distinct sites (fractional):
Mn 0.000 0.000 0.000
Ga 0.000 0.000 0.500
Ni 0.500 0.500 0.252

Calculated values
VASP energy = -6.1702 eV/atom
formation enthalpy at 0 K = -0.922 eV/f.u.
ρ = 8.1 g/cm3


[2]
MnGaNi2: optimized geometry, PBE.

a b c (Å): 4.107 4.107 5.661
angles (deg): 90.00 90.00 90.00
Space group I4/mmm (No. 139)
Symmetry-distinct sites (fractional):
Mn 0.000 0.000 0.000
Ga 0.000 0.000 0.500
Ni 0.000 0.500 0.250

Calculated values
VASP energy = -6.2181 eV/atom
formation enthalpy at 0 K = -1.113 eV/f.u.
ρ = 8.4 g/cm3


[3]
MnGa5Ni6: optimized geometry, PBE.

a b c (Å): 4.067 12.221 5.981
angles (deg): 90.00 90.00 90.00
Space group Cmmm (No. 65)
Symmetry-distinct sites (fractional):
Mn 0.000 0.000 0.000
Ga 0.000 0.000 0.500
Ga 0.000 0.332 0.500
Ga 0.000 0.341 0.000
Ni 0.000 0.170 0.247
Ni 0.000 0.500 0.264

Calculated values
VASP energy = -5.2576 eV/atom
formation enthalpy at 0 K = -4.099 eV/f.u.
ρ = 8.4 g/cm3


[4]
Mn2GaNi3: optimized geometry, PBE.

a b c (Å): 4.1024 4.1024 5.0513
angles (deg): 90.00 90.00 120.00
Space group P-3m1 (No. 164)
Symmetry-distinct sites (fractional):
Mn 0.3333 0.6667 0.1714
Ga 0.0000 0.0000 0.5000
Ni 0.0000 0.0000 0.0000
Ni 0.3333 0.6667 0.6754

Calculated values
VASP energy = -6.6437 eV/atom
formation enthalpy at 0 K = -1.152 eV/f.u.
ρ = 8.0 g/cm3
relative energy among the computed polymorphs = 0.005 eV per atom